{"formula": "CeBP2O8", "functional": "GGA-PBE", "state": "relaxed", "raw_formation_energy_mev_per_atom": -2216, "magmom_total_mub_per_fu": 1.00, "lattice": [[4.880, 0.000, 0.000], [-2.440, 4.226, 0.000], [0.000, 0.000, 6.431]], "species": ["Ce", "B", "P", "P", "O", "O", "O", "O", "O", "O", "O", "O"], "frac_coords": [[0.000, 0.000, 0.000], [0.000, 0.000, 0.500], [0.333, 0.667, 0.271], [0.667, 0.333, 0.729], [0.158, 0.317, 0.338], [0.158, 0.842, 0.338], [0.317, 0.158, 0.662], [0.333, 0.667, 0.031], [0.667, 0.333, 0.969], [0.683, 0.842, 0.338], [0.842, 0.158, 0.662], [0.842, 0.683, 0.662]]}